First-principles (PBE) data for a geometry-optimized PaSnS3 structure, as listed in Alexandria via LeMat-Bulk.

Computed properties:
For the density, the calculation gives 5.41 g/cm3. For the energy relative to the elements, uncorrected, the calculation gives -1.03 eV/atom. The magnetic moment is 0.08 μB per formula unit.

CIF file:
```
data_PaSnS3
_chemical_formula_sum 'Pa8 Sn8 S24'
_cell_length_a 13.598
_cell_length_b 12.576
_cell_length_c 6.400
_cell_angle_alpha 90.00
_cell_angle_beta 90.00
_cell_angle_gamma 90.00
_symmetry_space_group_name_H-M 'C m c e'
_symmetry_Int_Tables_number 64
_symmetry_space_group_name_Hall '-C 2ac 2'
loop_
_atom_site_label
_atom_site_type_symbol
_atom_site_fract_x
_atom_site_fract_y
_atom_site_fract_z
Pa1 Pa 0.250 0.149 0.250
Sn1 Sn 0.000 0.074 0.716
S1 S 0.136 0.209 0.557
S2 S 0.166 0.000 0.000
```

***

First-principles (PBE) data for a geometry-optimized PaSnS4 structure, as listed in Alexandria via LeMat-Bulk.

Computed properties:
For the density, the calculation gives 4.48 g/cm3. Its distance to the lowest polymorph of the same formula is 0 meV/atom. For the energy relative to the elements, uncorrected, the calculation gives -0.99 eV/atom. The magnetic moment is 0.00 μB per formula unit.

CIF file:
```
data_PaSnS4
_chemical_formula_sum 'Pa2 Sn2 S8'
_cell_length_a 14.670
_cell_length_b 3.994
_cell_length_c 6.820
_cell_angle_alpha 90.00
_cell_angle_beta 117.61
_cell_angle_gamma 90.00
_symmetry_space_group_name_H-M 'C 1 2/m 1'
_symmetry_Int_Tables_number 12
_symmetry_space_group_name_Hall '-C 2y'
loop_
_atom_site_label
_atom_site_type_symbol
_atom_site_fract_x
_atom_site_fract_y
_atom_site_fract_z
Pa1 Pa 0.000 0.000 0.000
Sn1 Sn 0.000 0.500 0.500
S1 S 0.109 0.000 0.434
S2 S 0.110 0.500 0.954
```

***

First-principles (PBE) data for a geometry-optimized Pa2SnS6 structure, as listed in Alexandria via LeMat-Bulk.

Computed properties:
For the density, the calculation gives 7.03 g/cm3. Its distance to the lowest polymorph of the same formula is 91 meV/atom. For the energy relative to the elements, uncorrected, the calculation gives -1.18 eV/atom. The magnetic moment is 0.00 μB per formula unit.

CIF file:
```
data_Pa2SnS6
_chemical_formula_sum 'Pa2 Sn1 S6'
_cell_length_a 7.2006
_cell_length_b 7.2006
_cell_length_c 4.0653
_cell_angle_alpha 90.00
_cell_angle_beta 90.00
_cell_angle_gamma 120.00
_symmetry_space_group_name_H-M 'P -6 2 m'
_symmetry_Int_Tables_number 189
_symmetry_space_group_name_Hall 'P -6 -2'
loop_
_atom_site_label
_atom_site_type_symbol
_atom_site_fract_x
_atom_site_fract_y
_atom_site_fract_z
Pa1 Pa 0.3333 0.6667 0.0000
Sn1 Sn 0.0000 0.0000 0.5000
S1 S 0.0000 0.4186 0.5000
S2 S 0.0000 0.7371 0.0000
```

***

First-principles (PBE) data for a geometry-optimized PaSnS4 structure, as listed in Alexandria via LeMat-Bulk.

Computed properties:
For the density, the calculation gives 5.54 g/cm3. Its distance to the lowest polymorph of the same formula is 88 meV/atom. For the energy relative to the elements, uncorrected, the calculation gives -0.91 eV/atom. The magnetic moment is 0.00 μB per formula unit.

CIF file:
```
data_PaSnS4
_chemical_formula_sum 'Pa2 Sn2 S8'
_cell_length_a 6.667
_cell_length_b 6.523
_cell_length_c 6.590
_cell_angle_alpha 90.00
_cell_angle_beta 91.67
_cell_angle_gamma 90.00
_symmetry_space_group_name_H-M 'P 1 21/c 1'
_symmetry_Int_Tables_number 14
_symmetry_space_group_name_Hall '-P 2ybc'
loop_
_atom_site_label
_atom_site_type_symbol
_atom_site_fract_x
_atom_site_fract_y
_atom_site_fract_z
Pa1 Pa 0.000 0.000 0.000
Sn1 Sn 0.500 0.000 0.500
S1 S 0.162 0.165 0.340
S2 S 0.327 0.662 0.331
```

***

First-principles (PBE) data for a geometry-optimized Pa2SnS6 structure, as listed in Alexandria via LeMat-Bulk.

Computed properties:
For the density, the calculation gives 4.63 g/cm3. Its distance to the lowest polymorph of the same formula is 0 meV/atom. For the energy relative to the elements, uncorrected, the calculation gives -1.27 eV/atom. The magnetic moment is 0.00 μB per formula unit.

CIF file:
```
data_Pa2SnS6
_chemical_formula_sum 'Pa8 Sn4 S24'
_cell_length_a 13.348
_cell_length_b 12.427
_cell_length_c 6.875
_cell_angle_alpha 90.00
_cell_angle_beta 103.67
_cell_angle_gamma 90.00
_symmetry_space_group_name_H-M 'C 1 2/c 1'
_symmetry_Int_Tables_number 15
_symmetry_space_group_name_Hall '-C 2yc'
loop_
_atom_site_label
_atom_site_type_symbol
_atom_site_fract_x
_atom_site_fract_y
_atom_site_fract_z
Pa1 Pa 0.238 0.087 0.496
Sn1 Sn 0.000 0.393 0.750
S1 S 0.132 0.451 0.137
S2 S 0.135 0.060 0.131
S3 S 0.141 0.259 0.585
```

***

First-principles (PBE) data for a geometry-optimized Pa3Sn2S8 structure, as listed in Alexandria via LeMat-Bulk.

Computed properties:
For the density, the calculation gives 5.40 g/cm3. For the energy relative to the elements, uncorrected, the calculation gives -1.17 eV/atom. The magnetic moment is 3.07 μB per formula unit.

CIF file:
```
data_Pa3Sn2S8
_chemical_formula_sum 'Pa6 Sn4 S16'
_cell_length_a 12.855
_cell_length_b 8.141
_cell_length_c 6.986
_cell_angle_alpha 90.00
_cell_angle_beta 91.85
_cell_angle_gamma 90.00
_symmetry_space_group_name_H-M 'C 1 2/m 1'
_symmetry_Int_Tables_number 12
_symmetry_space_group_name_Hall '-C 2y'
loop_
_atom_site_label
_atom_site_type_symbol
_atom_site_fract_x
_atom_site_fract_y
_atom_site_fract_z
Pa1 Pa 0.000 0.000 0.000
Pa2 Pa 0.000 0.252 0.500
Sn1 Sn 0.215 0.500 0.027
S1 S 0.109 0.000 0.339
S2 S 0.112 0.500 0.359
S3 S 0.116 0.235 0.832
```

***

First-principles (PBE) data for a geometry-optimized Pa2SnS structure, as listed in Alexandria via LeMat-Bulk.

Computed properties:
For the density, the calculation gives 11.27 g/cm3. Its distance to the lowest polymorph of the same formula is 120 meV/atom. For the energy relative to the elements, uncorrected, the calculation gives -0.65 eV/atom. The magnetic moment is 0.72 μB per formula unit.

CIF file:
```
data_Pa2SnS
_chemical_formula_sum 'Pa2 Sn1 S1'
_cell_length_a 3.371
_cell_length_b 3.371
_cell_length_c 7.942
_cell_angle_alpha 90.00
_cell_angle_beta 90.00
_cell_angle_gamma 90.00
_symmetry_space_group_name_H-M 'P 4/m m m'
_symmetry_Int_Tables_number 123
_symmetry_space_group_name_Hall '-P 4 2'
loop_
_atom_site_label
_atom_site_type_symbol
_atom_site_fract_x
_atom_site_fract_y
_atom_site_fract_z
Pa1 Pa 0.000 0.000 0.215
Sn1 Sn 0.500 0.500 0.500
S1 S 0.500 0.500 0.000
```

***

First-principles (PBE) data for a geometry-optimized PaSnS2 structure, as listed in Alexandria via LeMat-Bulk.

Computed properties:
For the density, the calculation gives 6.45 g/cm3. For the energy relative to the elements, uncorrected, the calculation gives -0.30 eV/atom. The magnetic moment is 0.05 μB per formula unit.

CIF file:
```
data_PaSnS2
_chemical_formula_sum 'Pa3 Sn3 S6'
_cell_length_a 3.7721
_cell_length_b 3.7721
_cell_length_c 25.9475
_cell_angle_alpha 90.00
_cell_angle_beta 90.00
_cell_angle_gamma 120.00
_symmetry_space_group_name_H-M 'R -3 m'
_symmetry_Int_Tables_number 166
_symmetry_space_group_name_Hall '-R 3 2"'
loop_
_atom_site_label
_atom_site_type_symbol
_atom_site_fract_x
_atom_site_fract_y
_atom_site_fract_z
Pa1 Pa 0.0000 0.0000 0.0000
Sn1 Sn 0.0000 0.0000 0.5000
S1 S 0.0000 0.0000 0.0995
```